First-principles (GGA-PBE) data for an optimized crystal structure of La3Nd3Sm, as listed in Alexandria.

Values from the calculation:
For the formation energy from the elements, the calculation gives 210 meV per atom. The polymorph energy (0 for the lowest one) is 177 meV per atom. The space group is No. 148.

Cell and atoms, written as POSCAR:
```
La3Nd3Sm
1.0
-7.932 -4.129 0.176
-0.833 -8.130 -3.635
-1.164 -7.112 5.297
Nd La Sm
6 6 2
Direct
0.273 0.432 0.938 Nd
0.432 0.938 0.273 Nd
0.062 0.727 0.568 Nd
0.568 0.062 0.727 Nd
0.727 0.568 0.062 Nd
0.938 0.273 0.432 Nd
0.940 0.700 0.192 La
0.300 0.808 0.060 La
0.060 0.300 0.808 La
0.700 0.192 0.940 La
0.808 0.060 0.300 La
0.192 0.940 0.700 La
0.645 0.645 0.645 Sm
0.355 0.355 0.355 Sm
```

=====

First-principles (GGA-PBE) data for an optimized crystal structure of Nb2GaN, as listed in Alexandria.

Values from the calculation:
Its formation energy without anion corrections is 0.01 eV per atom. The space group is No. 122.

Cell and atoms, written as POSCAR:
```
Nb2GaN
1.0
-3.626 -2.645 -2.662
-1.970 -1.810 4.481
-6.128 2.066 1.180
N Nb Ga
2 4 2
Direct
0.500 0.500 0.000 N
0.250 0.750 0.500 N
0.520 0.125 0.250 Nb
0.375 0.480 0.750 Nb
0.875 0.770 0.750 Nb
0.230 0.625 0.250 Nb
0.750 0.250 0.500 Ga
0.000 0.000 0.000 Ga
```

=====

First-principles (GGA-PBE) data for an optimized crystal structure of Fe5Co, as listed in Alexandria.

Values from the calculation:
For the formation energy from the elements, the calculation gives 62 meV per atom. The space group is No. 59.

Cell and atoms, written as POSCAR:
```
Fe5Co
1.0
3.993 0.000 0.000
0.000 4.867 0.000
0.000 0.000 7.202
Fe Co
10 2
Direct
0.750 0.584 0.922 Fe
0.250 0.416 0.078 Fe
0.250 0.777 0.750 Fe
0.750 0.085 0.919 Fe
0.250 0.915 0.081 Fe
0.750 0.085 0.581 Fe
0.750 0.584 0.578 Fe
0.250 0.915 0.419 Fe
0.250 0.416 0.422 Fe
0.750 0.223 0.250 Fe
0.750 0.725 0.250 Co
0.250 0.275 0.750 Co
```

=====

First-principles (GGA-PBE) data for an optimized crystal structure of Cs3Mg2GeCl9, as listed in Alexandria.

Values from the calculation:
Its formation energy without anion corrections is -1.72 eV per atom. The space group is No. 164.

Cell and atoms, written as POSCAR:
```
Cs3Mg2GeCl9
1.0
-2.374 -2.821 6.372
7.140 -0.369 -1.756
1.405 7.949 4.042
Mg Cl Cs Ge
2 9 3 1
Direct
0.667 0.333 0.841 Mg
0.333 0.667 0.159 Mg
0.829 0.171 0.674 Cl
0.000 0.500 0.000 Cl
0.171 0.829 0.326 Cl
0.657 0.829 0.326 Cl
0.343 0.171 0.674 Cl
0.500 0.000 0.000 Cl
0.500 0.500 0.000 Cl
0.829 0.657 0.674 Cl
0.171 0.343 0.326 Cl
0.667 0.333 0.335 Cs
0.333 0.667 0.665 Cs
0.000 0.000 0.000 Cs
0.000 0.000 0.500 Ge
```

=====

First-principles (GGA-PBE) data for an optimized crystal structure of Ba2SrCd, as listed in Alexandria.

Values from the calculation:
For the formation energy from the elements, the calculation gives -55 meV per atom. The space group is No. 65.

Cell and atoms, written as POSCAR:
```
Ba2SrCd
1.0
10.088 -0.012 -0.026
-3.923 4.915 0.066
2.242 1.741 3.804
Ba Sr Cd
2 1 1
Direct
0.500 0.000 0.500 Ba
0.000 0.000 0.000 Ba
0.500 0.500 0.000 Sr
0.000 0.500 0.500 Cd
```

=====

First-principles (GGA-PBE) data for an optimized crystal structure of Ac2HoPd, as listed in Alexandria.

Values from the calculation:
For the formation energy from the elements, the calculation gives 173 meV per atom. The polymorph energy (0 for the lowest one) is 460 meV per atom. The space group is No. 166.

Cell and atoms, written as POSCAR:
```
Ac2HoPd
1.0
3.749 0.000 0.000
1.874 3.246 0.000
1.874 1.082 11.631
Ho Pd Ac
1 1 2
Direct
0.500 0.500 0.500 Ho
0.000 0.000 0.000 Pd
0.079 0.079 0.762 Ac
0.921 0.921 0.238 Ac
```

=====

First-principles (GGA-PBE) data for an optimized crystal structure of KZrRu3, as listed in Alexandria.

Values from the calculation:
For the formation energy from the elements, the calculation gives 2279 meV per atom. The polymorph energy (0 for the lowest one) is 815 meV per atom. The space group is No. 221.

Cell and atoms, written as POSCAR:
```
KZrRu3
1.0
4.554 0.000 0.000
0.000 4.554 0.000
0.000 0.000 4.554
Zr Ru K
1 3 1
Direct
0.500 0.500 0.500 Zr
0.000 0.000 0.500 Ru
0.500 0.000 0.000 Ru
0.000 0.500 0.000 Ru
0.000 0.000 0.000 K
```

=====

First-principles (GGA-PBE) data for an optimized crystal structure of SrSm2AgO5, as listed in Alexandria.

Values from the calculation:
Its formation energy without anion corrections is -2.35 eV per atom. The space group is No. 140.

Cell and atoms, written as POSCAR:
```
SrSm2AgO5
1.0
-4.161 0.124 5.212
-3.811 -4.623 -2.933
7.268 -2.185 1.586
O Ag Sm Sr
10 2 4 2
Direct
0.532 0.729 0.761 O
0.500 0.500 0.000 O
0.771 0.968 0.239 O
0.468 0.271 0.239 O
0.000 0.000 0.000 O
0.032 0.532 0.761 O
0.729 0.229 0.761 O
0.968 0.468 0.239 O
0.229 0.032 0.761 O
0.271 0.771 0.239 O
0.250 0.750 0.500 Ag
0.750 0.250 0.500 Ag
0.831 0.669 0.000 Sm
0.331 0.831 0.000 Sm
0.669 0.169 0.000 Sm
0.169 0.331 0.000 Sm
0.750 0.750 0.500 Sr
0.250 0.250 0.500 Sr
```

=====

First-principles (GGA-PBE) data for an optimized crystal structure of ErFe4Cu, as listed in Alexandria.

Values from the calculation:
For the formation energy from the elements, the calculation gives 36 meV per atom. The space group is No. 216.

Cell and atoms, written as POSCAR:
```
ErFe4Cu
1.0
4.939 0.000 0.000
2.470 4.278 0.000
2.470 1.426 4.033
Fe Cu Er
4 1 1
Direct
0.625 0.625 0.126 Fe
0.625 0.625 0.625 Fe
0.625 0.126 0.625 Fe
0.126 0.625 0.625 Fe
0.250 0.250 0.250 Cu
0.000 0.000 0.000 Er
```

=====

First-principles (GGA-PBE) data for an optimized crystal structure of LiCa, as listed in Alexandria.

Values from the calculation:
For the formation energy from the elements, the calculation gives 107 meV per atom. The polymorph energy (0 for the lowest one) is 96 meV per atom. The space group is No. 59.

Cell and atoms, written as POSCAR:
```
LiCa
1.0
-2.053 1.816 -2.441
3.951 -1.325 -4.308
-2.998 -5.013 -1.208
Li Ca
2 2
Direct
0.000 0.500 0.310 Li
0.500 0.000 0.523 Li
0.000 0.000 0.037 Ca
0.500 0.500 0.796 Ca
```

=====

First-principles (GGA-PBE) data for an optimized crystal structure of Al3InHg, as listed in Alexandria.

Values from the calculation:
For the formation energy from the elements, the calculation gives 606 meV per atom. The polymorph energy (0 for the lowest one) is 0 meV per atom. The space group is No. 221.

Cell and atoms, written as POSCAR:
```
Al3InHg
1.0
-0.286 4.497 -2.423
-5.010 -0.721 -0.746
-0.997 2.331 4.444
Al Hg In
3 1 1
Direct
0.000 0.000 0.500 Al
0.000 0.500 0.000 Al
0.500 0.000 0.000 Al
0.000 0.000 0.000 Hg
0.500 0.500 0.500 In
```

=====

First-principles (GGA-PBE) data for an optimized crystal structure of Mg2AsSe, as listed in Alexandria.

Values from the calculation:
Its formation energy without anion corrections is -0.63 eV per atom. The space group is No. 8.

Cell and atoms, written as POSCAR:
```
Mg2AsSe
1.0
-0.445 -5.799 3.588
0.202 -6.831 0.037
3.719 0.107 0.647
As Se Mg
1 1 2
Direct
0.252 0.252 0.124 As
0.502 0.502 0.626 Se
0.039 0.039 0.126 Mg
0.707 0.707 0.624 Mg
```

=====

First-principles (GGA-PBE) data for an optimized crystal structure of NdHoCd, as listed in Alexandria.

Values from the calculation:
For the formation energy from the elements, the calculation gives -123 meV per atom. The polymorph energy (0 for the lowest one) is 93 meV per atom. The space group is No. 69.

Cell and atoms, written as POSCAR:
```
NdHoCd
1.0
-4.601 -3.472 -0.971
3.918 0.989 -4.224
3.571 -3.561 4.468
Cd Ho Nd
2 2 2
Direct
0.250 0.750 0.500 Cd
0.750 0.250 0.500 Cd
0.137 0.137 0.273 Ho
0.863 0.863 0.727 Ho
0.334 0.666 0.000 Nd
0.666 0.334 0.000 Nd
```

=====

First-principles (GGA-PBE) data for an optimized crystal structure of LaMoOs4, as listed in Alexandria.

Values from the calculation:
For the formation energy from the elements, the calculation gives 382 meV per atom. The space group is No. 216.

Cell and atoms, written as POSCAR:
```
LaMoOs4
1.0
0.000 3.751 3.751
3.751 0.000 3.751
3.751 3.751 0.000
Mo Os La
1 4 1
Direct
0.000 0.000 0.000 Mo
0.375 0.375 0.875 Os
0.375 0.375 0.375 Os
0.875 0.375 0.375 Os
0.375 0.875 0.375 Os
0.750 0.750 0.750 La
```

=====

First-principles (GGA-PBE) data for an optimized crystal structure of La5Tb2Ho4, as listed in Alexandria.

Values from the calculation:
For the formation energy from the elements, the calculation gives 178 meV per atom. The polymorph energy (0 for the lowest one) is 100 meV per atom. The space group is No. 71.

Cell and atoms, written as POSCAR:
```
La5Tb2Ho4
1.0
-3.520 -0.469 0.122
1.187 -9.154 -0.968
1.732 3.637 12.219
La Ho Tb
5 4 2
Direct
0.500 0.000 0.000 La
0.147 0.349 0.294 La
0.147 0.945 0.294 La
0.853 0.651 0.706 La
0.853 0.055 0.706 La
0.596 0.596 0.193 Ho
0.000 0.684 0.000 Ho
0.000 0.316 0.000 Ho
0.404 0.404 0.807 Ho
0.731 0.731 0.461 Tb
0.269 0.269 0.539 Tb
```

=====

First-principles (GGA-PBE) data for an optimized crystal structure of AcSm3Cu, as listed in Alexandria.

Values from the calculation:
For the formation energy from the elements, the calculation gives 60 meV per atom. The space group is No. 221.

Cell and atoms, written as POSCAR:
```
AcSm3Cu
1.0
5.568 0.000 0.000
0.000 5.568 0.000
0.000 0.000 5.568
Sm Cu Ac
3 1 1
Direct
0.500 0.000 0.000 Sm
0.000 0.000 0.500 Sm
0.000 0.500 0.000 Sm
0.000 0.000 0.000 Cu
0.500 0.500 0.500 Ac
```

=====

First-principles (GGA-PBE) data for an optimized crystal structure of LiBi2H, as listed in Alexandria.

Values from the calculation:
The polymorph energy (0 for the lowest one) is 0 meV per atom. The space group is No. 225.

Cell and atoms, written as POSCAR:
```
LiBi2H
1.0
2.622 -2.702 -3.070
1.448 -4.449 1.308
-1.980 -3.912 -2.092
Li Bi H
1 2 1
Direct
0.500 0.500 0.500 Li
0.250 0.250 0.250 Bi
0.750 0.750 0.750 Bi
0.000 0.000 0.000 H
```

=====

First-principles (GGA-PBE) data for an optimized crystal structure of Sr2GaIrBr, as listed in Alexandria.

Values from the calculation:
Its formation energy without anion corrections is -0.75 eV per atom. The space group is No. 123.

Cell and atoms, written as POSCAR:
```
Sr2GaIrBr
1.0
-5.166 -0.698 -2.737
2.770 -0.141 -5.193
0.443 -4.710 0.364
Br Ga Ir Sr
1 1 1 2
Direct
0.500 0.500 0.500 Br
0.000 0.000 0.500 Ga
0.000 0.000 0.000 Ir
0.500 0.000 0.000 Sr
0.000 0.500 0.000 Sr
```

=====

First-principles (GGA-PBE) data for an optimized crystal structure of AlP2, as listed in Alexandria.

Values from the calculation:
For the formation energy from the elements, the calculation gives -205 meV per atom. The space group is No. 205.

Cell and atoms, written as POSCAR:
```
AlP2
1.0
5.957 0.000 0.000
0.000 5.957 0.000
0.000 0.000 5.957
P Al
8 4
Direct
0.103 0.897 0.603 P
0.603 0.897 0.897 P
0.603 0.603 0.397 P
0.897 0.103 0.397 P
0.103 0.603 0.103 P
0.897 0.397 0.897 P
0.397 0.103 0.103 P
0.397 0.397 0.603 P
0.000 0.000 0.000 Al
0.500 0.000 0.500 Al
0.500 0.500 0.000 Al
0.000 0.500 0.500 Al
```

=====

First-principles (GGA-PBE) data for an optimized crystal structure of Sc2CdPdC, as listed in Alexandria.

Values from the calculation:
For the formation energy from the elements, the calculation gives -389 meV per atom. The space group is No. 123.

Cell and atoms, written as POSCAR:
```
Sc2CdPdC
1.0
4.531 0.000 0.000
0.000 4.531 0.000
0.000 0.000 4.200
Cd Pd Sc C
1 1 2 1
Direct
0.500 0.500 0.500 Cd
0.000 0.000 0.500 Pd
0.500 0.000 0.000 Sc
0.000 0.500 0.000 Sc
0.000 0.000 0.000 C
```

=====

Calculated magnetization, 0.000 0.000 2.334 0.000 0.000 0.000 0.000 0.096 1.524 0.000 0.000 0.000 0.000 0.000 0.000 0.000 0.000 0.000 0.000 0.000 μB/atom (same order as the records).
Calculated DOS(E_F), 22.80 6.31 10.78 0.00 6.78 4.75 5.11 14.33 5.94 3.79 3.00 1.69 6.39 6.93 18.00 6.22 1.69 2.75 4.60 4.13 states/eV/cell (same order as the records).